Material: NaMnAg2
Method: DFT, PBE
State: optimized geometry

## Properties
**Formation energy**: 0.275 eV per atom
**Offset from the most stable computed form**: 0.0 kJ/mol of atoms
**E_tot**: -3.772 eV per atom

Cell: 6.700 6.700 6.700 Å, 90.00 90.00 90.00°
Fractional positions:
Na  0.000  0.000  0.000
Na  0.000  0.500  0.500
Na  0.500  0.000  0.500
Na  0.500  0.500  0.000
Mn  0.000  0.000  0.500
Mn  0.000  0.500  0.000
Mn  0.500  0.000  0.000
Mn  0.500  0.500  0.500
Ag  0.250  0.250  0.250
Ag  0.250  0.250  0.750
Ag  0.250  0.750  0.250
Ag  0.250  0.750  0.750
Ag  0.750  0.250  0.250
Ag  0.750  0.250  0.750
Ag  0.750  0.750  0.250
Ag  0.750  0.750  0.750